(1)
The following is a DFT calculation (SCAN) of LiCdCl2 at its PBEsol-relaxed geometry.

Total magnetic moment   0.21 μB per atom
Excess energy over the best structure of this formula in the dataset   569 meV/atom
SG   F-43m

Cell lengths 4.9283, 4.9283, 4.9283 Å; angles 60.00, 60.00, 60.00 degrees
Closest atoms and distances in Å follow each position.
Atoms (fractional coordinates):
Li: 0.2500 0.2500 0.2500  4 Cd 3.02, 4 Cl 3.02
Cd: 0.5000 0.5000 0.5000  4 Cl 3.02, 4 Li 3.02
Cl: 0.7500 0.7500 0.7500  4 Cd 3.02, 4 Cl 3.02
Cl: 0.0000 0.0000 0.0000  4 Cl 3.02, 4 Li 3.02

(2)
The following is a DFT calculation (SCAN) of In2GaBi at its PBEsol-relaxed geometry.

ΔH_f (0 K)   0.169 eV per atom
Total magnetic moment   0.00 μB per atom
SG   Fm-3m

Cell lengths 5.2460, 5.2460, 5.2460 Å; angles 60.00, 60.00, 60.00 degrees
Closest atoms and distances in Å follow each position.
Atoms (fractional coordinates):
In: 0.7500 0.7500 0.7500  4 Bi 3.21, 4 Ga 3.21
In: 0.2500 0.2500 0.2500  4 Bi 3.21, 4 Ga 3.21
Ga: 0.0000 0.0000 0.0000  8 In 3.21
Bi: 0.5000 0.5000 0.5000  8 In 3.21

(3)
The following is a DFT calculation (SCAN) of P2OsRu at its PBEsol-relaxed geometry.

ΔH_f (0 K)   -0.148 eV per atom
Total magnetic moment   0.00 μB per atom
Excess energy over the best structure of this formula in the dataset   0 meV/atom
SG   Cm

Cell lengths 2.9493, 4.3064, 4.3895 Å; angles 101.57, 109.63, 90.00 degrees
Closest atoms and distances in Å follow each position.
Atoms (fractional coordinates):
Os: 0.2608 0.8247 0.5217  7 P 2.37-2.63
Ru: 0.4882 0.4075 0.9764  5 P 2.33-2.47
P: 0.7558 0.3179 0.5116  3 Ru 2.33-2.39, 2 Os 2.59
P: 0.9952 0.9498 0.9903  3 Os 2.37-2.40, 2 Ru 2.47

(4)
The following is a DFT calculation (SCAN) of Y2RhCl at its PBEsol-relaxed geometry.

Total magnetic moment   0.00 μB per atom
Excess energy over the best structure of this formula in the dataset   0 meV/atom
SG   R-3m

Cell lengths 3.8814, 3.8814, 7.5730 Å; angles 75.15, 75.15, 60.00 degrees
Closest atoms and distances in Å follow each position.
Atoms (fractional coordinates):
Cl: 0.5000 0.5000 0.5000  6 Y 3.08
Rh: 0.0000 0.0000 0.0000  6 Y 2.70
Y: 0.7357 0.7357 0.7928  3 Rh 2.70
Y: 0.2643 0.2643 0.2072  3 Rh 2.70

(5)
The following is a DFT calculation (SCAN) of NaRhAu3 at its PBEsol-relaxed geometry.

ΔH_f (0 K)   0.421 eV per atom
Total magnetic moment   0.24 μB per atom
SG   Pm-3m

Cell lengths 4.9638, 4.9638, 4.9638 Å; angles 90.00, 90.00, 90.00 degrees
Closest atoms and distances in Å follow each position.
Atoms (fractional coordinates):
Au: 0.0000 0.5000 0.0000  2 Rh 2.48
Rh: 0.0000 0.0000 0.0000  6 Au 2.48
Au: 0.5000 0.0000 0.0000  2 Rh 2.48
Na: 0.5000 0.5000 0.5000  12 Au 3.51
Au: 0.0000 0.0000 0.5000  2 Rh 2.48

(6)
The following is a DFT calculation (SCAN) of Er3Ge2Rh2 at its PBEsol-relaxed geometry.

ΔH_f (0 K)   -1.077 eV per atom
Total magnetic moment   0.00 μB per atom
SG   Pbcm

Cell lengths 5.4800, 7.5997, 13.0070 Å; angles 90.00, 90.00, 90.00 degrees
Closest atoms and distances in Å follow each position.
Atoms (fractional coordinates):
Rh: 0.3737 0.0459 0.0925  3 Ge 2.51-2.56
Er: 0.1457 0.3975 0.0997  4 Rh 2.83-3.06, 4 Ge 2.91-3.14
Ge: 0.1246 0.3864 0.7500  2 Rh 2.51
Er: 0.6286 0.2371 0.7500  5 Ge 2.95-3.26, 4 Rh 2.97-2.98
Rh: 0.3737 0.4541 0.9075  3 Ge 2.51-2.56
Er: 0.1457 0.1025 0.9003  4 Rh 2.83-3.06, 4 Ge 2.91-3.14
Er: 0.8543 0.8975 0.4003  4 Rh 2.83-3.06, 4 Ge 2.91-3.14
Er: 0.8543 0.6025 0.5997  4 Rh 2.83-3.06, 4 Ge 2.91-3.14
Ge: 0.6705 0.2500 0.0000  4 Rh 2.55-2.56
Er: 0.3714 0.7629 0.2500  5 Ge 2.95-3.26, 4 Rh 2.97-2.98
Ge: 0.1246 0.1136 0.2500  2 Rh 2.51
Ge: 0.8754 0.6136 0.2500  2 Rh 2.51
Er: 0.6286 0.2629 0.2500  5 Ge 2.95-3.26, 4 Rh 2.97-2.98
Ge: 0.8754 0.8864 0.7500  2 Rh 2.51
Rh: 0.3737 0.4541 0.5925  3 Ge 2.51-2.56
Er: 0.8543 0.8975 0.0997  4 Rh 2.83-3.06, 4 Ge 2.91-3.14
Er: 0.8543 0.6025 0.9003  4 Rh 2.83-3.06, 4 Ge 2.91-3.14
Er: 0.1457 0.3975 0.4003  4 Rh 2.83-3.06, 4 Ge 2.91-3.14
Ge: 0.3295 0.7500 0.5000  4 Rh 2.55-2.56
Rh: 0.6263 0.5459 0.0925  3 Ge 2.51-2.56
Er: 0.1457 0.1025 0.5997  4 Rh 2.83-3.06, 4 Ge 2.91-3.14
Rh: 0.6263 0.5459 0.4075  3 Ge 2.51-2.56
Er: 0.3714 0.7371 0.7500  5 Ge 2.95-3.26, 4 Rh 2.97-2.98
Ge: 0.6705 0.2500 0.5000  4 Rh 2.55-2.56
Rh: 0.6263 0.9541 0.5925  3 Ge 2.51-2.56
Ge: 0.3295 0.7500 0.0000  4 Rh 2.55-2.56
Rh: 0.3737 0.0459 0.4075  3 Ge 2.51-2.56
Rh: 0.6263 0.9541 0.9075  3 Ge 2.51-2.56